VASP calculation (PBE) on an optimized crystal structure of CsMnH2Br.

Computed properties:
Density of states at the Fermi level   2.1 states/eV/f.u.
DFT total energy   -2.60 eV per atom

Unit cell a=4.5858 b=4.5858 c=6.9663 alpha=90.00 beta=90.00 gamma=90.00
Positions (direct):
Cs  0.0000  0.0000  0.0000
Mn  0.5000  0.5000  0.0000
H  0.0000  0.5000  0.5000
H  0.5000  0.0000  0.5000
Br  0.0000  0.0000  0.5000



VASP calculation (PBE) on an optimized crystal structure of Cs2MoHBr6.

Computed properties:
Density of states at the Fermi level   8.4 states/eV/f.u.
DFT total energy   -3.40 eV per atom

Unit cell a=7.8247 b=7.8247 c=7.8247 alpha=120.05 beta=120.05 gamma=89.92
Positions (direct):
Cs  0.2500  0.7500  0.5000
Cs  0.7500  0.2500  0.5000
Mo  0.0000  0.0000  0.0000
H  0.5000  0.5000  0.0000
Br  0.2320  0.2320  0.0000
Br  0.2323  0.2323  0.4645
Br  0.2323  0.7677  0.0000
Br  0.7677  0.2323  0.0000
Br  0.7680  0.7680  0.0000
Br  0.7677  0.7677  0.5355



VASP calculation (PBE) on an optimized crystal structure of CsMoHBr6.

Computed properties:
Density of states at the Fermi level   5.2 states/eV/f.u.
DFT total energy   -3.52 eV per atom

Unit cell a=6.7291 b=6.7589 c=7.2591 alpha=106.62 beta=104.23 gamma=90.86
Positions (direct):
Cs  0.0000  0.0000  0.0000
Mo  0.4998  0.4995  0.5016
H  0.9998  0.4994  0.5015
Br  0.1732  0.3279  0.5560
Br  0.2833  0.5528  0.1847
Br  0.4299  0.8529  0.6995
Br  0.5693  0.1460  0.3036
Br  0.7165  0.4466  0.8187
Br  0.8264  0.6710  0.4469



Please write out number 3 again, unchanged.
VASP calculation (PBE) on an optimized crystal structure of CsMoHBr6.

Computed properties:
Density of states at the Fermi level   5.2 states/eV/f.u.
DFT total energy   -3.52 eV per atom

Unit cell a=6.7291 b=6.7589 c=7.2591 alpha=106.62 beta=104.23 gamma=90.86
Positions (direct):
Cs  0.0000  0.0000  0.0000
Mo  0.4998  0.4995  0.5016
H  0.9998  0.4994  0.5015
Br  0.1732  0.3279  0.5560
Br  0.2833  0.5528  0.1847
Br  0.4299  0.8529  0.6995
Br  0.5693  0.1460  0.3036
Br  0.7165  0.4466  0.8187
Br  0.8264  0.6710  0.4469



> The lowest density of states at the Fermi level belongs to which entry?

CsMnH2Br



> The lowest density of states at the Fermi level belongs to which entry?

CsMnH2Br